(1)
BaSmCuTe3: relaxed, PBE.

Calculated values
- Symmetry: P2_1/m, No. 11
- Theoretical density: 5985 kg/m³
- Final energy: -4.518 eV/atom
- Total magnetic moment: 0.001 μB/atom

Cell lengths 8.7448, 4.4877, 10.7995 Å; angles 90.00, 106.04, 90.00 degrees
Fractional positions:
Ba (0.2492, 0.2500, 0.3012)
Ba (0.7508, 0.7500, 0.6988)
Sm (0.3018, 0.7500, 0.8440)
Sm (0.6982, 0.2500, 0.1560)
Cu (0.0797, 0.2500, 0.5952)
Cu (0.9203, 0.7500, 0.4048)
Te (0.0552, 0.2500, 0.8372)
Te (0.2337, 0.7500, 0.5469)
Te (0.4412, 0.7500, 0.1486)
Te (0.5588, 0.2500, 0.8514)
Te (0.7663, 0.2500, 0.4531)
Te (0.9448, 0.7500, 0.1628)

---

(2)
BaCu9Sn4: relaxed, PBE.

Calculated values
- Symmetry: I4/mcm, No. 140
- Theoretical density: 8198 kg/m³
- Final energy: -3.823 eV/atom

Cell lengths 8.8117, 8.8117, 8.8117 Å; angles 120.56, 120.56, 89.04 degrees
Fractional positions:
Ba (0.2500, 0.2500, 0.0000)
Ba (0.7500, 0.7500, 0.0000)
Cu (0.0000, 0.5000, 0.5000)
Cu (0.0555, 0.7969, 0.8524)
Cu (0.0652, 0.5652, 0.2829)
Cu (0.2031, 0.0555, 0.2586)
Cu (0.2177, 0.9348, 0.5000)
Cu (0.2823, 0.7823, 0.7171)
Cu (0.2969, 0.5555, 0.8524)
Cu (0.4348, 0.7177, 0.5000)
Cu (0.4445, 0.2969, 0.7414)
Cu (0.5000, 0.0000, 0.5000)
Cu (0.5555, 0.7031, 0.2586)
Cu (0.5652, 0.2823, 0.5000)
Cu (0.7031, 0.4445, 0.1476)
Cu (0.7177, 0.2177, 0.2829)
Cu (0.7823, 0.0652, 0.5000)
Cu (0.7969, 0.9445, 0.7414)
Cu (0.9348, 0.4348, 0.7171)
Cu (0.9445, 0.2031, 0.1476)
Sn (0.0592, 0.1909, 0.5000)
Sn (0.1909, 0.6909, 0.1317)
Sn (0.3091, 0.4408, 0.5000)
Sn (0.4408, 0.9408, 0.1317)
Sn (0.5592, 0.0592, 0.8683)
Sn (0.6909, 0.5592, 0.5000)
Sn (0.8091, 0.3091, 0.8683)
Sn (0.9408, 0.8091, 0.5000)

---

(3)
Ba2CuSn: relaxed, PBE.

Calculated values
- Symmetry: F-43m, No. 216
- Theoretical density: 5967 kg/m³
- Final energy: -2.908 eV/atom

Cell lengths 7.9823, 7.9823, 7.9823 Å; angles 90.00, 90.00, 90.00 degrees
Fractional positions:
Ba (0.0000, 0.0000, 0.0000)
Ba (0.0000, 0.5000, 0.5000)
Ba (0.2500, 0.2500, 0.2500)
Ba (0.2500, 0.7500, 0.7500)
Ba (0.5000, 0.0000, 0.5000)
Ba (0.5000, 0.5000, 0.0000)
Ba (0.7500, 0.2500, 0.7500)
Ba (0.7500, 0.7500, 0.2500)
Cu (0.0000, 0.0000, 0.5000)
Cu (0.0000, 0.5000, 0.0000)
Cu (0.5000, 0.0000, 0.0000)
Cu (0.5000, 0.5000, 0.5000)
Sn (0.2500, 0.2500, 0.7500)
Sn (0.2500, 0.7500, 0.2500)
Sn (0.7500, 0.2500, 0.2500)
Sn (0.7500, 0.7500, 0.7500)

---

(4)
BaSrCu2Sn4: relaxed, PBE.

Calculated values
- Symmetry: Amm2, No. 38
- Theoretical density: 6409 kg/m³
- Final energy: -3.814 eV/atom

Cell lengths 4.6284, 4.7544, 19.4719 Å; angles 90.00, 90.00, 90.00 degrees
Fractional positions:
Ba (0.0000, 0.0000, 0.0000)
Ba (0.0000, 0.5000, 0.5000)
Sr (0.5000, 0.0000, 0.2170)
Sr (0.5000, 0.5000, 0.7170)
Cu (0.0000, 0.0000, 0.7860)
Cu (0.0000, 0.5000, 0.2860)
Cu (0.5000, 0.0000, 0.4308)
Cu (0.5000, 0.5000, 0.9308)
Sn (0.0000, 0.0000, 0.3582)
Sn (0.0000, 0.0000, 0.6519)
Sn (0.0000, 0.5000, 0.1519)
Sn (0.0000, 0.5000, 0.8582)
Sn (0.5000, 0.0000, 0.5660)
Sn (0.5000, 0.0000, 0.8579)
Sn (0.5000, 0.5000, 0.0660)
Sn (0.5000, 0.5000, 0.3579)

---

(5)
Ba2ZnCuSn2: relaxed, PBE.

Calculated values
- Symmetry: P-6m2, No. 187
- Theoretical density: 5635 kg/m³
- Final energy: -3.261 eV/atom

Cell lengths 4.6420, 4.6420, 10.1232 Å; angles 90.00, 90.00, 120.00 degrees
Fractional positions:
Ba (0.0000, 0.0000, 0.2442)
Ba (0.0000, 0.0000, 0.7558)
Zn (0.3333, 0.6667, 0.5000)
Cu (0.6667, 0.3333, 0.0000)
Sn (0.3333, 0.6667, 0.0000)
Sn (0.6667, 0.3333, 0.5000)

---

(6)
BaSrCu3: relaxed, PBE.

Calculated values
- Symmetry: P3m1, No. 156
- Theoretical density: 5031 kg/m³
- Final energy: -2.999 eV/atom

Cell lengths 4.2255, 4.2255, 8.8717 Å; angles 90.00, 90.00, 120.00 degrees
Fractional positions:
Ba (0.0000, 0.0000, 0.0000)
Sr (0.6667, 0.3333, 0.4169)
Cu (0.0000, 0.0000, 0.6478)
Cu (0.3333, 0.6667, 0.6960)
Cu (0.6667, 0.3333, 0.7499)